DFT (PBE-GGA) results for TlCd2Hg after structural relaxation.

Calculated values
- ΔE_f (meV/atom) = 33
- space-group type = No. 6
- offset from the most stable computed form (eV per atom) = 0.014

Lattice parameters (Å, degrees): 3.4779 5.0024 6.2397 90.00 105.77 90.00
Last column: nearest neighbours and their distance in Å.
Element x y z (fractional)
Tl1 0.0000 0.0000 0.0000  2 Cd 3.05-3.36, 4 Hg 3.25-3.26
Cd1 0.2999 0.0000 0.5078  2 Tl 3.05-3.36, 2 Hg 3.09, 4 Cd 3.16-3.24
Cd2 0.7001 0.5000 0.3441  6 Cd 3.16-3.48, 3 Hg 3.22-3.33
Hg1 0.4033 0.5000 0.8085  5 Cd 3.09-3.33, 4 Tl 3.25-3.26